i | Below is a geometry-optimized Pr4MgAl structure, with properties calculated at the PBE level.

Output
Density in kg/m3: 4787

Cell and atoms, written as POSCAR:
```
Pr4MgAl
1.0
5.088 0.000 0.000
0.000 5.088 0.000
0.000 0.000 8.240
Pr Mg Al
4 1 1
direct
0.000 0.500 0.228
0.000 0.500 0.772
0.500 0.000 0.228
0.500 0.000 0.772
0.000 0.000 0.500
0.500 0.500 0.000
```

***

ii | Below is a geometry-optimized Pr4MgAl structure, with properties calculated at the PBE level.

Output
Density in kg/m3: 5152

Cell and atoms, written as POSCAR:
```
Pr4MgAl
1.0
5.912 0.000 0.000
0.000 3.627 0.000
-0.770 0.000 9.243
Pr Mg Al
4 1 1
direct
0.011 0.000 0.219
0.475 0.500 0.689
0.525 0.500 0.311
0.989 0.000 0.781
0.500 0.000 0.000
0.000 0.500 0.500
```

***

Quick look at relative energies in meV/atom: i 66; ii 0.

***

i | Below is a geometry-optimized Pr8MgAl2 structure, with properties calculated at the PBE level.

Output
Density in kg/m3: 5765

Cell and atoms, written as POSCAR:
```
Pr8MgAl2
1.0
-2.584 4.460 7.531
2.584 -4.460 7.531
2.584 4.460 -7.531
Pr Mg Al
8 1 2
direct
0.123 0.340 0.783
0.148 0.148 0.000
0.323 0.000 0.323
0.444 0.660 0.783
0.556 0.340 0.217
0.677 0.000 0.677
0.852 0.852 0.000
0.877 0.660 0.217
0.000 0.500 0.500
0.303 0.803 0.500
0.697 0.197 0.500
```

***

ii | Below is a geometry-optimized Pr8MgAl2 structure, with properties calculated at the PBE level.

Output
Density in kg/m3: 5743

Cell and atoms, written as POSCAR:
```
Pr8MgAl2
1.0
8.960 -2.536 0.000
8.960 2.536 0.000
-2.631 0.000 7.669
Pr Mg Al
8 1 2
direct
0.040 0.040 0.235
0.174 0.174 0.757
0.325 0.325 0.569
0.397 0.397 0.037
0.603 0.603 0.963
0.675 0.675 0.431
0.826 0.826 0.243
0.960 0.960 0.765
0.500 0.500 0.500
0.209 0.209 0.176
0.791 0.791 0.824
```

***

Quick look at relative energies in meV/atom: i 25; ii 0.